No. 1
# Mn2HgTeSe meta-GGA SCAN PBEsol geometry
data_Mn2HgTeSe
_chemical_formula_sum 'Mn2 Hg1 Te1 Se1'
_cell_length_a 5.0459
_cell_length_b 5.0459
_cell_length_c 5.4142
_cell_angle_alpha 90.00
_cell_angle_beta 90.00
_cell_angle_gamma 90.00
_space_group_name_H-M_alt 'P 4/m m m'
_space_group_IT_number 123
_space_group_name_Hall '-P 4 2'
loop_
_atom_site_label
_atom_site_fract_x
_atom_site_fract_y
_atom_site_fract_z
_atom_site_occupancy
Mn1 0.0000 0.5000 0.0000 1
Hg1 0.0000 0.0000 0.0000 1
Te1 0.0000 0.0000 0.5000 1
Se1 0.5000 0.5000 0.5000 1
# - E_form (uncorrected): 631.8 meV/atom
# - Size of the total moment: 9.813 μB/f.u.

=====

No. 2
# MnSiHg2 meta-GGA SCAN PBEsol geometry
data_MnSiHg2
_chemical_formula_sum 'Mn2 Si2 Hg4'
_cell_length_a 9.7381
_cell_length_b 3.1756
_cell_length_c 4.7561
_cell_angle_alpha 90.00
_cell_angle_beta 99.34
_cell_angle_gamma 90.00
_space_group_name_H-M_alt 'C 1 2/m 1'
_space_group_IT_number 12
_space_group_name_Hall '-C 2y'
loop_
_atom_site_label
_atom_site_fract_x
_atom_site_fract_y
_atom_site_fract_z
_atom_site_occupancy
Mn1 0.0000 0.0000 0.0000 1
Si1 0.0000 0.5000 0.5000 1
Hg1 0.2428 0.5000 0.2453 1
# - E_form (uncorrected): 310.3 meV/atom
# - Size of the total moment: 4.125 μB/f.u.

=====

No. 3
# MnSi2Hg meta-GGA SCAN PBEsol geometry
data_MnSi2Hg
_chemical_formula_sum 'Mn4 Si8 Hg4'
_cell_length_a 5.4550
_cell_length_b 5.4651
_cell_length_c 8.9305
_cell_angle_alpha 90.00
_cell_angle_beta 90.00
_cell_angle_gamma 90.00
_space_group_name_H-M_alt 'F m m m'
_space_group_IT_number 69
_space_group_name_Hall '-F 2 2'
loop_
_atom_site_label
_atom_site_fract_x
_atom_site_fract_y
_atom_site_fract_z
_atom_site_occupancy
Mn1 0.0000 0.0000 0.0000 1
Si1 0.2500 0.0000 0.2500 1
Hg1 0.0000 0.0000 0.5000 1
# - E_form (uncorrected): 315.8 meV/atom
# - Size of the total moment: 3.867 μB/f.u.

=====

No. 4
# MnSi2Hg meta-GGA SCAN PBEsol geometry
data_MnSi2Hg
_chemical_formula_sum 'Mn1 Si2 Hg1'
_cell_length_a 4.0846
_cell_length_b 4.0846
_cell_length_c 3.8082
_cell_angle_alpha 90.00
_cell_angle_beta 90.00
_cell_angle_gamma 90.00
_space_group_name_H-M_alt 'P 4/m m m'
_space_group_IT_number 123
_space_group_name_Hall '-P 4 2'
loop_
_atom_site_label
_atom_site_fract_x
_atom_site_fract_y
_atom_site_fract_z
_atom_site_occupancy
Mn1 0.0000 0.0000 0.0000 1
Si1 0.0000 0.5000 0.5000 1
Hg1 0.5000 0.5000 0.0000 1
# - E_form (uncorrected): 382.7 meV/atom
# - Size of the total moment: 3.741 μB/f.u.